VASP calculation (PBE) on a geometry-optimized NdY2In2 structure.

The energy relative to the lowest polymorph listed for this composition is 0.0 meV/atom. The formation enthalpy at 0 K is -0.43 eV per atom. Its space group is Pnma (62).

Unit cell a=6.7175 b=5.3679 c=16.0001 alpha=90.00 beta=90.00 gamma=90.00
Last column: nearest neighbours and their distance in Å.
Fractional coordinates of all 20 atoms:
Nd 0.1506 0.2500 0.0464  7 In 3.31-3.61, 2 Y 3.67-3.69, 2 Nd 3.67
Nd 0.3494 0.7500 0.5464  7 In 3.31-3.61, 2 Y 3.67-3.69, 2 Nd 3.67
Nd 0.6506 0.2500 0.4536  7 In 3.31-3.61, 2 Y 3.67-3.69, 2 Nd 3.67
Nd 0.8494 0.7500 0.9536  7 In 3.31-3.61, 2 Y 3.67-3.69, 2 Nd 3.67
Y 0.0394 0.7500 0.3559  6 In 3.11-3.48
Y 0.1798 0.7500 0.7711  3 In 3.16-3.29, 2 Y 3.43
Y 0.3202 0.2500 0.2711  3 In 3.16-3.29, 2 Y 3.43
Y 0.4606 0.2500 0.8559  6 In 3.11-3.48
Y 0.5394 0.7500 0.1441  6 In 3.11-3.48
Y 0.6798 0.7500 0.7289  3 In 3.16-3.29, 2 Y 3.43
Y 0.8202 0.2500 0.2289  3 In 3.16-3.29, 2 Y 3.43
Y 0.9606 0.2500 0.6441  6 In 3.11-3.48
In 0.0555 0.7500 0.1619  5 Y 3.11-3.48, 2 Nd 3.32
In 0.1434 0.2500 0.4544  4 Y 3.16-3.27, 4 Nd 3.31-3.41
In 0.3566 0.7500 0.9544  4 Y 3.16-3.27, 4 Nd 3.31-3.41
In 0.4445 0.2500 0.6619  5 Y 3.11-3.48, 2 Nd 3.32
In 0.5555 0.7500 0.3381  5 Y 3.11-3.48, 2 Nd 3.32
In 0.6434 0.2500 0.0456  4 Y 3.16-3.27, 4 Nd 3.31-3.41
In 0.8566 0.7500 0.5456  4 Y 3.16-3.27, 4 Nd 3.31-3.41
In 0.9445 0.2500 0.8381  5 Y 3.11-3.48, 2 Nd 3.32


VASP calculation (PBE) on a geometry-optimized AcHPd structure.

The energy relative to the lowest polymorph listed for this composition is 0.0 meV/atom. Its space group is P2_1/m (11).

Unit cell a=4.1770 b=4.9758 c=5.8565 alpha=90.00 beta=106.52 gamma=90.00
Last column: nearest neighbours and their distance in Å.
Fractional coordinates of all 6 atoms:
Ac 0.1344 0.2500 0.2852  3 H 2.57-2.61
Ac 0.8656 0.7500 0.7148  3 H 2.57-2.61
H 0.2974 0.7500 0.3942  1 Pd 1.98
H 0.7026 0.2500 0.6058  1 Pd 1.98
Pd 0.4748 0.2500 0.8595  1 H 1.98
Pd 0.5252 0.7500 0.1405  1 H 1.98


VASP calculation (PBE) on a geometry-optimized TbNd2O structure.

Its raw formation energy is -805 meV per atom. The energy relative to the lowest polymorph listed for this composition is 313.9 meV/atom. Its space group is P4/mmm (123).

Unit cell a=3.2593 b=3.2593 c=9.1331 alpha=90.00 beta=90.00 gamma=90.00
Last column: nearest neighbours and their distance in Å.
Fractional coordinates of all 4 atoms:
Tb 0.0000 0.0000 0.0000  4 Tb 3.26
Nd 0.5000 0.5000 0.3288  4 O 2.79
Nd 0.5000 0.5000 0.6712  4 O 2.79
O 0.0000 0.0000 0.5000  8 Nd 2.79


VASP calculation (PBE) on a geometry-optimized RbTaTl2Se4 structure.

Its raw formation energy is -738 meV per atom. Its space group is I222 (23).

Unit cell a=7.2809 b=7.2809 c=7.2809 alpha=114.97 beta=108.78 gamma=104.83
Last column: nearest neighbours and their distance in Å.
Fractional coordinates of all 8 atoms:
Rb 0.0000 0.0000 0.0000  8 Se 3.70-3.99
Ta 0.5000 0.5000 0.0000  4 Se 2.42
Tl 0.2060 0.7060 0.5000  4 Se 3.13-3.20
Tl 0.7940 0.2940 0.5000  4 Se 3.13-3.20
Se 0.1819 0.5327 0.0160  1 Ta 2.42
Se 0.4833 0.4673 0.6492  1 Ta 2.42
Se 0.5167 0.1659 0.9840  1 Ta 2.42
Se 0.8181 0.8341 0.3508  1 Ta 2.42


VASP calculation (PBE) on a geometry-optimized Tb6PmTm5 structure.

The formation enthalpy at 0 K is 0.02 eV per atom. Its space group is C2/m (12).

Unit cell a=6.1279 b=6.1279 c=11.7096 alpha=95.01 beta=95.01 gamma=120.08
Last column: nearest neighbours and their distance in Å.
Fractional coordinates of all 12 atoms:
Tb 0.0818 0.4159 0.2482  5 Tm 3.51-3.55, 6 Tb 3.53-3.55, 1 Pm 3.55
Tb 0.2501 0.2501 0.7515  5 Tm 3.52-3.55, 6 Tb 3.53-3.54, 1 Pm 3.55
Tb 0.4159 0.0818 0.2482  5 Tm 3.51-3.55, 6 Tb 3.53-3.55, 1 Pm 3.55
Tb 0.5841 0.9182 0.7518  5 Tm 3.51-3.55, 6 Tb 3.53-3.55, 1 Pm 3.55
Tb 0.7499 0.7499 0.2485  5 Tm 3.52-3.55, 6 Tb 3.53-3.54, 1 Pm 3.55
Tb 0.9182 0.5841 0.7518  5 Tm 3.51-3.55, 6 Tb 3.53-3.55, 1 Pm 3.55
Pm 0.5000 0.5000 0.5000  6 Tm 3.54, 6 Tb 3.55
Tm 0.0000 0.0000 0.0000  6 Tb 3.52, 6 Tm 3.54
Tm 0.1668 0.8332 0.5000  3 Tm 3.53-3.54, 3 Pm 3.54, 6 Tb 3.55
Tm 0.3331 0.6669 0.0000  6 Tb 3.51-3.52, 6 Tm 3.53-3.55
Tm 0.6669 0.3331 0.0000  6 Tb 3.51-3.52, 6 Tm 3.53-3.55
Tm 0.8332 0.1668 0.5000  3 Tm 3.53-3.54, 3 Pm 3.54, 6 Tb 3.55


VASP calculation (PBE) on a geometry-optimized CsTlHSeF structure.

The energy relative to the lowest polymorph listed for this composition is 11.3 meV/atom. Its space group is Cm (8).

Unit cell a=5.7041 b=5.7041 c=5.5518 alpha=90.83 beta=90.83 gamma=55.76
Last column: nearest neighbours and their distance in Å.
Fractional coordinates of all 5 atoms:
Cs 0.0000 0.0000 0.0000  2 F 3.03
Tl 0.3381 0.3381 0.5121  1 F 2.51
H 0.6672 0.6672 0.2870  1 Se 1.48
Se 0.6628 0.6628 0.5537  1 H 1.48
F 0.3596 0.3596 0.9628  1 Tl 2.51


For the records above, the corresponding N(E_F) values read 3.33, 0.85, 5.08, 0.07, 15.88, 0.00 states/eV/f.u..